# KTb3Dy2Te6 (PBE, optimized geometry)
data_KTb3Dy2Te6
_symmetry_space_group_name_H-M 'C 1 2/m 1'
_symmetry_Int_Tables_number 12
_symmetry_space_group_name_Hall '-C 2y'
_cell_length_a 19.353
_cell_length_b 4.383
_cell_length_c 8.993
_cell_angle_alpha 90.00
_cell_angle_beta 103.79
_cell_angle_gamma 90.00
loop_
_atom_site_label
_atom_site_type_symbol
_atom_site_fract_x
_atom_site_fract_y
_atom_site_fract_z
K1 K 0.000 0.000 0.000
Tb1 Tb 0.000 0.000 0.500
Tb2 Tb 0.160 0.500 0.819
Dy1 Dy 0.169 0.500 0.344
Te1 Te 0.004 0.500 0.265
Te2 Te 0.166 0.000 0.582
Te3 Te 0.175 0.000 0.087
# Formation energy (no corrections) = -126 kJ per mole of atoms
# Crystal system = monoclinic
# Fermi-level density of states = 4.8 states/eV/f.u.